# 1
Material: Li2PaPd4
Method: DFT, PBE
State: relaxed Values from VASP.

Structure (Quantum ESPRESSO input):
```
&SYSTEM
  ibrav = 0, nat = 14, ntyp = 3
/
ATOMIC_SPECIES
Li 6.94 Li.upf
Pa 231.04 Pa.upf
Pd 106.42 Pd.upf
ATOMIC_POSITIONS angstrom
Li 1.4232 0.0363 0.0000
Li 1.4232 3.8867 -1.3660
Li 1.4232 2.2662 1.9457
Li 1.4232 6.1167 3.3117
Pa 1.4232 -1.6777 3.9726
Pa 1.4232 7.8307 0.6609
Pd 2.8905 2.1709 -0.0976
Pd 2.8023 -3.9820 3.2141
Pd 0.0000 0.0000 2.1780
Pd 2.8464 0.0000 2.1780
Pd 1.4232 4.8277 0.9758
Pd 1.4232 1.3252 4.2875
Pd -0.0441 3.9820 3.2141
Pd 2.8905 3.9820 3.2141
CELL_PARAMETERS angstrom
-2.8464 6.1530 3.3117
2.8464 -6.1530 3.3117
2.8464 6.1530 -3.3117
```

Output
Total moment (μB/atom): 0.0000
Crystal system: orthorhombic
Energy of formation (eV/atom): -0.516
Distance to the lowest polymorph of the same formula (eV per formula unit): 0.000
E_tot (eV/atom): -5.3863

# 2
Material: Y3CuS
Method: DFT, PBE
State: relaxed Values from VASP.

Structure (Quantum ESPRESSO input):
```
&SYSTEM
  ibrav = 0, nat = 5, ntyp = 3
/
ATOMIC_SPECIES
Y 88.91 Y.upf
Cu 63.55 Cu.upf
S 32.06 S.upf
ATOMIC_POSITIONS angstrom
Y 0.0000 0.0000 2.5724
Y 0.0000 2.5724 0.0000
Y 2.5724 0.0000 0.0000
Cu 2.5724 2.5724 2.5724
S 0.0000 0.0000 0.0000
CELL_PARAMETERS angstrom
5.1448 0.0000 0.0000
0.0000 5.1448 0.0000
0.0000 0.0000 5.1448
```

Output
Total moment (μB/atom): 0.0000
Crystal system: cubic
Energy relative to the elements, uncorrected (eV per atom): -0.47
Distance to the lowest polymorph of the same formula (eV per formula unit): 1.983
E_tot (eV/atom): -5.9957

# 3
Material: Fe2OsRh
Method: DFT, PBE
State: relaxed Values from VASP.

Structure (Quantum ESPRESSO input):
```
&SYSTEM
  ibrav = 0, nat = 4, ntyp = 3
/
ATOMIC_SPECIES
Fe 55.84 Fe.upf
Os 190.23 Os.upf
Rh 102.91 Rh.upf
ATOMIC_POSITIONS angstrom
Fe 0.0000 0.0000 0.0000
Fe 0.0000 1.8415 1.8934
Os 0.0000 0.0000 3.7867
Rh 1.8415 0.0000 1.8934
CELL_PARAMETERS angstrom
-1.8415 1.8415 3.7867
1.8415 -1.8415 3.7867
1.8415 1.8415 -3.7867
```

Output
Total moment (μB/atom): 0.9911
Crystal system: tetragonal
Energy of formation (eV/atom): 0.083
Distance to the lowest polymorph of the same formula (eV per formula unit): 0.000
E_tot (eV/atom): -8.7940

# 4
Material: Y3Er2NpN6
Method: DFT, PBE
State: relaxed Values from VASP.

Structure (Quantum ESPRESSO input):
```
&SYSTEM
  ibrav = 0, nat = 12, ntyp = 4
/
ATOMIC_SPECIES
Y 88.91 Y.upf
Er 167.26 Er.upf
Np 237.00 Np.upf
N 14.01 N.upf
ATOMIC_POSITIONS angstrom
Y 0.0000 0.0000 0.0000
Y 2.9829 1.7395 0.0000
Y 2.9829 -1.7395 0.0000
Er 1.9906 3.4478 2.8147
Er 1.9906 -3.4478 2.8147
Np 1.9906 0.0000 2.8147
N 1.0287 1.6648 1.4651
N 0.0814 0.0000 4.1477
N 1.0287 -1.6648 1.4651
N 2.9525 1.6648 4.1643
N 3.8998 0.0000 1.4817
N 2.9525 -1.6648 4.1643
CELL_PARAMETERS angstrom
2.9829 -5.1702 0.0000
2.9829 5.1702 0.0000
-1.9845 0.0000 5.6294
```

Output
Total moment (μB/atom): 0.2253
Crystal system: monoclinic
Energy relative to the elements, uncorrected (eV per atom): -1.63
E_tot (eV/atom): -9.2486